--- a ---
VASP calculation (GGA-PBE) on an optimized crystal structure of Ce2ErPt9.

Computed properties:
SG: No. 123
Crystal system: tetragonal

abc: 4.148 4.148 12.424
angles: 90.00 90.00 90.00
Fractional positions:
Ce 0.000 0.000 0.169
Ce 0.000 0.000 0.831
Er 0.000 0.000 0.500
Pt 0.000 0.500 0.000
Pt 0.000 0.500 0.335
Pt 0.000 0.500 0.665
Pt 0.500 0.000 0.000
Pt 0.500 0.000 0.335
Pt 0.500 0.000 0.665
Pt 0.500 0.500 0.168
Pt 0.500 0.500 0.500
Pt 0.500 0.500 0.832


--- b ---
VASP calculation (GGA-PBE) on an optimized crystal structure of Ce2ErPt9.

Computed properties:
SG: No. 166
Crystal system: trigonal

abc: 9.735 9.735 9.735
angles: 32.28 32.28 32.28
Fractional positions:
Ce 0.202 0.202 0.202
Ce 0.798 0.798 0.798
Er 0.000 0.000 0.000
Pt 0.245 0.747 0.747
Pt 0.253 0.253 0.755
Pt 0.253 0.755 0.253
Pt 0.335 0.335 0.335
Pt 0.500 0.500 0.500
Pt 0.665 0.665 0.665
Pt 0.747 0.245 0.747
Pt 0.747 0.747 0.245
Pt 0.755 0.253 0.253


a ends up most stable, edging out the next structure by 271 meV/atom.


--- a ---
VASP calculation (GGA-PBE) on an optimized crystal structure of CeErPu.

Computed properties:
SG: No. 156
Crystal system: trigonal

abc: 5.493 5.493 3.266
angles: 90.00 90.00 120.00
Fractional positions:
Ce 0.000 0.000 0.000
Er 0.667 0.333 0.500
Pu 0.333 0.667 0.501


--- b ---
VASP calculation (GGA-PBE) on an optimized crystal structure of CeErPu.

Computed properties:
SG: No. 107
Crystal system: tetragonal

abc: 7.486 7.486 7.486
angles: 153.44 153.44 37.92
Fractional positions:
Ce 0.000 0.000 0.000
Er 0.322 0.322 0.000
Pu 0.648 0.648 0.000


--- c ---
VASP calculation (GGA-PBE) on an optimized crystal structure of CeErPu.

Computed properties:
SG: No. 59
Crystal system: orthorhombic

abc: 3.401 5.204 9.389
angles: 90.00 90.00 90.00
Fractional positions:
Ce 0.250 0.250 0.212
Ce 0.750 0.750 0.788
Er 0.250 0.250 0.594
Er 0.750 0.750 0.406
Pu 0.250 0.750 0.084
Pu 0.750 0.250 0.916


b ends up most stable, edging out the next structure by 11 meV/atom.